Version one
A plane-wave DFT calculation with PBE-GGA was carried out for a relaxed structure of CsMgZr3.

The space group is Pm-3m (No. 221) and the conventional cell measures 5.2847, 5.2847 and 5.2847 Å, with angles of 90.00, 90.00 and 90.00 degrees. The asymmetric unit holds Cs at (0.0000, 0.0000, 0.0000), Mg at (0.5000, 0.5000, 0.5000) and Zr at (0.0000, 0.0000, 0.5000).

The calculation puts the magnetic moment at 0.059 μB per cell. The calculation puts the density of states at the Fermi level at 9.33 states/eV per cell. The density is 4.8 g/cm3.

***

Version two
A plane-wave DFT calculation with PBE-GGA was carried out for a relaxed structure of CsMgZr3.

The space group is Pm-3m (No. 221) and the conventional cell measures 5.3847, 5.3847 and 5.3847 Å, with angles of 90.00, 90.00 and 90.00 degrees. The asymmetric unit holds Cs at (0.0000, 0.0000, 0.0000), Mg at (0.5000, 0.5000, 0.5000) and Zr at (0.0000, 0.5000, 0.5000).

The calculation puts the magnetic moment at 0.000 μB per cell. The calculation puts the density of states at the Fermi level at 8.53 states/eV per cell. The density is 4.6 g/cm3.

***

Of them, the most stable is version two and the least stable is version one.

***

Version one
A plane-wave DFT calculation with PBE-GGA was carried out for a relaxed structure of CsMnMo3.

The space group is Pm-3m (No. 221) and the conventional cell measures 4.6959, 4.6959 and 4.6959 Å, with angles of 90.00, 90.00 and 90.00 degrees. The asymmetric unit holds Cs at (0.0000, 0.0000, 0.0000), Mn at (0.5000, 0.5000, 0.5000) and Mo at (0.0000, 0.5000, 0.5000).

The calculation puts the magnetic moment at 0.000 μB per cell. The calculation puts the density of states at the Fermi level at 6.24 states/eV per cell. The density is 7.6 g/cm3.

***

Version two
A plane-wave DFT calculation with PBE-GGA was carried out for a relaxed structure of CsMnMo3.

The space group is Pm-3m (No. 221) and the conventional cell measures 4.8554, 4.8554 and 4.8554 Å, with angles of 90.00, 90.00 and 90.00 degrees. The asymmetric unit holds Cs at (0.0000, 0.0000, 0.0000), Mn at (0.5000, 0.5000, 0.5000) and Mo at (0.0000, 0.0000, 0.5000).

The calculation puts the magnetic moment at 0.126 μB per cell. The calculation puts the density of states at the Fermi level at 8.56 states/eV per cell. The density is 6.9 g/cm3.

***

Of them, the most stable is version one and the least stable is version two.

***

Version one
A plane-wave DFT calculation with PBE-GGA was carried out for a relaxed structure of CsMn3N.

The space group is Pm-3m (No. 221) and the conventional cell measures 5.1454, 5.1454 and 5.1454 Å, with angles of 90.00, 90.00 and 90.00 degrees. The asymmetric unit holds Cs at (0.0000, 0.0000, 0.0000), Mn at (0.0000, 0.0000, 0.5000) and N at (0.5000, 0.5000, 0.5000).

The calculation puts the magnetic moment at 12.734 μB per cell. The calculation puts the density of states at the Fermi level at 3.64 states/eV per cell. The density is 3.8 g/cm3.

***

Version two
A plane-wave DFT calculation with PBE-GGA was carried out for a relaxed structure of CsMn3N.

The space group is Pm-3m (No. 221) and the conventional cell measures 4.3767, 4.3767 and 4.3767 Å, with angles of 90.00, 90.00 and 90.00 degrees. The asymmetric unit holds Cs at (0.0000, 0.0000, 0.0000), Mn at (0.0000, 0.5000, 0.5000) and N at (0.5000, 0.5000, 0.5000).

The calculation puts the magnetic moment at 11.002 μB per cell. The calculation puts the density of states at the Fermi level at 3.82 states/eV per cell. The density is 6.2 g/cm3.

***

Of them, the most stable is version two and the least stable is version one.

***

Version one
A plane-wave DFT calculation with PBE-GGA was carried out for a relaxed structure of CsMnSe2N.

The space group is P4/mmm (No. 123) and the conventional cell measures 5.7405, 5.7405 and 3.5416 Å, with angles of 90.00, 90.00 and 90.00 degrees. The asymmetric unit holds Cs at (0.0000, 0.0000, 0.0000), Mn at (0.5000, 0.5000, 0.5000), Se at (0.0000, 0.5000, 0.5000) and N at (0.5000, 0.5000, 0.0000).

The calculation puts the magnetic moment at 1.991 μB per cell. The calculation puts the density of states at the Fermi level at 2.79 states/eV per cell. The density is 5.1 g/cm3.

***

Version two
A plane-wave DFT calculation with PBE-GGA was carried out for a relaxed structure of CsMnSe2N.

The space group is P4/mmm (No. 123) and the conventional cell measures 5.9226, 5.9226 and 4.4469 Å, with angles of 90.00, 90.00 and 90.00 degrees. The asymmetric unit holds Cs at (0.0000, 0.0000, 0.0000), Mn at (0.5000, 0.5000, 0.5000), Se at (0.0000, 0.5000, 0.0000) and N at (0.0000, 0.0000, 0.5000).

The calculation puts the magnetic moment at 6.966 μB per cell. The calculation puts the density of states at the Fermi level at 4.10 states/eV per cell. The density is 3.8 g/cm3.

***

Of them, the most stable is version one and the least stable is version two.